No. 1
# Er2Ti12Cu9O36 PBE-GGA optimized geometry
# total magnetization: 8.9 μB per formula unit
# formation energy (no corrections): -134.86 eV/f.u.
data_Er2Ti12Cu9O36
_space_group_name_H-M_alt 'P -3'
_space_group_IT_number 147
_space_group_name_Hall '-P 3'
_cell_length_a 10.5071
_cell_length_b 10.5071
_cell_length_c 6.4495
_cell_angle_alpha 90.00
_cell_angle_beta 90.00
_cell_angle_gamma 120.00
loop_
_atom_site_label
_atom_site_type_symbol
_atom_site_fract_x
_atom_site_fract_y
_atom_site_fract_z
_atom_site_occupancy
Er1 Er 0.3333 0.6667 0.3306 1
Ti1 Ti 0.0000 0.0000 0.5000 1
Ti2 Ti 0.0000 0.5000 0.5000 1
Ti3 Ti 0.1575 0.3191 0.1624 1
Ti4 Ti 0.3333 0.6667 0.8418 1
Cu1 Cu 0.0000 0.5000 0.0000 1
Cu2 Cu 0.1686 0.3374 0.6603 1
O1 O 0.0164 0.1651 0.3306 1
O2 O 0.0445 0.2698 0.9102 1
O3 O 0.0760 0.4505 0.2503 1
O4 O 0.1195 0.7069 0.4117 1
O5 O 0.1771 0.5277 0.6445 1
O6 O 0.1930 0.6831 0.0175 1


No. 2
# HgAs2Br PBE-GGA optimized geometry
# energy above the lowest structure with this stoichiometry: 0.023 eV per atom
# total magnetization: 0.0 μB per formula unit
# formation energy (no corrections): -0.11 eV/f.u.
data_HgAs2Br
_space_group_name_H-M_alt 'A m m 2'
_space_group_IT_number 38
_space_group_name_Hall 'A 2 -2'
_cell_length_a 3.7329
_cell_length_b 5.4819
_cell_length_c 10.3275
_cell_angle_alpha 90.00
_cell_angle_beta 90.00
_cell_angle_gamma 90.00
loop_
_atom_site_label
_atom_site_type_symbol
_atom_site_fract_x
_atom_site_fract_y
_atom_site_fract_z
_atom_site_occupancy
Hg1 Hg 0.0000 0.0000 0.0000 1
As1 As 0.0000 0.0000 0.4348 1
As2 As 0.5000 0.0000 0.2686 1
Br1 Br 0.5000 0.0000 0.7316 1


Question: Number 2 is which compound?
Answer: HgAs2Br


Repeat the first record exactly.
# Er2Ti12Cu9O36 PBE-GGA optimized geometry
# total magnetization: 8.9 μB per formula unit
# formation energy (no corrections): -134.86 eV/f.u.
data_Er2Ti12Cu9O36
_space_group_name_H-M_alt 'P -3'
_space_group_IT_number 147
_space_group_name_Hall '-P 3'
_cell_length_a 10.5071
_cell_length_b 10.5071
_cell_length_c 6.4495
_cell_angle_alpha 90.00
_cell_angle_beta 90.00
_cell_angle_gamma 120.00
loop_
_atom_site_label
_atom_site_type_symbol
_atom_site_fract_x
_atom_site_fract_y
_atom_site_fract_z
_atom_site_occupancy
Er1 Er 0.3333 0.6667 0.3306 1
Ti1 Ti 0.0000 0.0000 0.5000 1
Ti2 Ti 0.0000 0.5000 0.5000 1
Ti3 Ti 0.1575 0.3191 0.1624 1
Ti4 Ti 0.3333 0.6667 0.8418 1
Cu1 Cu 0.0000 0.5000 0.0000 1
Cu2 Cu 0.1686 0.3374 0.6603 1
O1 O 0.0164 0.1651 0.3306 1
O2 O 0.0445 0.2698 0.9102 1
O3 O 0.0760 0.4505 0.2503 1
O4 O 0.1195 0.7069 0.4117 1
O5 O 0.1771 0.5277 0.6445 1
O6 O 0.1930 0.6831 0.0175 1


Question: The highest formation energy (no corrections) belongs to which entry?
Answer: HgAs2Br


Question: Look up the formation energy (no corrections) of the first one.
Answer: -134.86 eV/f.u.